Pr2GaGe | the Alexandria database | PBE | optimized geometry; size of the total moment = 0.00 μB/atom; E_form = -2.0 eV per formula unit
1.0
4.357 0.000 0.000
2.178 3.773 0.000
2.178 1.258 7.208
Pr Ge Ga
2 1 1
Direct
0.758 0.758 0.727 Pr
0.242 0.242 0.273 Pr
0.500 0.500 0.500 Ge
0.000 0.000 0.000 Ga